Arrangement A

Below is a relaxed structure of Pm2Dy3Y2, with properties calculated at the PBE-GGA level.

Cell and atoms, written as CIF:
```
data_Pm2Dy3Y2
_cell_length_a 11.850
_cell_length_b 3.582
_cell_length_c 10.762
_cell_angle_alpha 90.00
_cell_angle_beta 95.74
_cell_angle_gamma 90.00
_symmetry_space_group_name_H-M 'C 1 2/m 1'
_symmetry_Int_Tables_number 12
loop_
_symmetry_equiv_pos_as_xyz
'x,y,z'
'-x,-y,-z'
'-x,y,-z'
'x,-y,z'
'x+1/2,y+1/2,z'
'-x+1/2,-y+1/2,-z'
'-x+1/2,y+1/2,-z'
'x+1/2,-y+1/2,z'
loop_
_atom_site_label
_atom_site_type_symbol
_atom_site_fract_x
_atom_site_fract_y
_atom_site_fract_z
_atom_site_occupancy
Pm1 Pm 0.214 0.000 0.356 1
Dy1 Dy 0.000 0.500 0.500 1
Dy2 Dy 0.143 0.500 0.071 1
Y1 Y 0.071 0.000 0.788 1
```

---

Arrangement B

Below is a relaxed structure of Pm2Dy3Y2, with properties calculated at the PBE-GGA level.

Cell and atoms, written as CIF:
```
data_Pm2Dy3Y2
_cell_length_a 17.576
_cell_length_b 3.522
_cell_length_c 8.562
_cell_angle_alpha 90.00
_cell_angle_beta 119.10
_cell_angle_gamma 90.00
_symmetry_space_group_name_H-M 'C 1 2/m 1'
_symmetry_Int_Tables_number 12
loop_
_symmetry_equiv_pos_as_xyz
'x,y,z'
'-x,-y,-z'
'-x,y,-z'
'x,-y,z'
'x+1/2,y+1/2,z'
'-x+1/2,-y+1/2,-z'
'-x+1/2,y+1/2,-z'
'x+1/2,-y+1/2,z'
loop_
_atom_site_label
_atom_site_type_symbol
_atom_site_fract_x
_atom_site_fract_y
_atom_site_fract_z
_atom_site_occupancy
Pm1 Pm 0.067 0.000 0.411 1
Dy1 Dy 0.000 0.500 0.000 1
Dy2 Dy 0.211 0.500 0.300 1
Y1 Y 0.149 0.500 0.832 1
```

---

Energetically preferred structure: arrangement A | next structure: +98 meV per atom

---

Arrangement A

Below is a relaxed structure of Pm7Dy4Y, with properties calculated at the PBE-GGA level.

Cell and atoms, written as CIF:
```
data_Pm7Dy4Y
_cell_length_a 6.310
_cell_length_b 7.281
_cell_length_c 8.978
_cell_angle_alpha 90.01
_cell_angle_beta 103.66
_cell_angle_gamma 90.04
_symmetry_space_group_name_H-M 'P -1'
_symmetry_Int_Tables_number 2
loop_
_symmetry_equiv_pos_as_xyz
'x,y,z'
'-x,-y,-z'
loop_
_atom_site_label
_atom_site_type_symbol
_atom_site_fract_x
_atom_site_fract_y
_atom_site_fract_z
_atom_site_occupancy
Pm1 Pm 0.000 0.000 0.000 1
Pm2 Pm 0.222 0.500 0.666 1
Pm3 Pm 0.280 0.751 0.335 1
Pm4 Pm 0.500 0.247 0.001 1
Dy1 Dy 0.220 0.000 0.666 1
Dy2 Dy 0.278 0.248 0.333 1
Y1 Y 0.000 0.500 0.000 1
```

---

Arrangement B

Below is a relaxed structure of Pm7Dy4Y, with properties calculated at the PBE-GGA level.

Cell and atoms, written as CIF:
```
data_Pm7Dy4Y
_cell_length_a 12.097
_cell_length_b 6.016
_cell_length_c 12.783
_cell_angle_alpha 90.00
_cell_angle_beta 118.05
_cell_angle_gamma 90.00
_symmetry_space_group_name_H-M 'C 1 2/m 1'
_symmetry_Int_Tables_number 12
loop_
_symmetry_equiv_pos_as_xyz
'x,y,z'
'-x,-y,-z'
'-x,y,-z'
'x,-y,z'
'x+1/2,y+1/2,z'
'-x+1/2,-y+1/2,-z'
'-x+1/2,y+1/2,-z'
'x+1/2,-y+1/2,z'
loop_
_atom_site_label
_atom_site_type_symbol
_atom_site_fract_x
_atom_site_fract_y
_atom_site_fract_z
_atom_site_occupancy
Pm1 Pm 0.000 0.000 0.000 1
Pm2 Pm 0.129 0.500 0.499 1
Pm3 Pm 0.209 0.000 0.921 1
Pm4 Pm 0.239 0.000 0.678 1
Dy1 Dy 0.065 0.000 0.320 1
Dy2 Dy 0.136 0.500 0.776 1
Y1 Y 0.000 0.500 0.000 1
```

---

Energetically preferred structure: arrangement A | next structure: +255 meV per atom

---

Arrangement A

Below is a relaxed structure of Pm6Dy12Y, with properties calculated at the PBE-GGA level.

Cell and atoms, written as CIF:
```
data_Pm6Dy12Y
_cell_length_a 11.1199
_cell_length_b 11.1199
_cell_length_c 17.5167
_cell_angle_alpha 90.00
_cell_angle_beta 90.00
_cell_angle_gamma 120.00
_symmetry_space_group_name_H-M 'R -3 m'
_symmetry_Int_Tables_number 166
_symmetry_space_group_name_Hall '-R 3 2"'
loop_
_atom_site_label
_atom_site_type_symbol
_atom_site_fract_x
_atom_site_fract_y
_atom_site_fract_z
_atom_site_occupancy
Pm1 Pm 0.0691 0.5346 0.2667 1
Dy1 Dy 0.1000 0.5500 0.9138 1
Dy2 Dy 0.1061 0.2121 0.9083 1
Y1 Y 0.0000 0.0000 0.5000 1
```

---

Arrangement B

Below is a relaxed structure of Pm6Dy12Y, with properties calculated at the PBE-GGA level.

Cell and atoms, written as CIF:
```
data_Pm6Dy12Y
_cell_length_a 13.2607
_cell_length_b 13.2607
_cell_length_c 12.6479
_cell_angle_alpha 90.00
_cell_angle_beta 90.00
_cell_angle_gamma 120.00
_symmetry_space_group_name_H-M 'R -3 m'
_symmetry_Int_Tables_number 166
_symmetry_space_group_name_Hall '-R 3 2"'
loop_
_atom_site_label
_atom_site_type_symbol
_atom_site_fract_x
_atom_site_fract_y
_atom_site_fract_z
_atom_site_occupancy
Pm1 Pm 0.0400 0.5200 0.1166 1
Dy1 Dy 0.0000 0.2577 0.0000 1
Dy2 Dy 0.0910 0.1820 0.7647 1
Y1 Y 0.0000 0.0000 0.5000 1
```

---

Energetically preferred structure: arrangement A | next structure: +87 meV per atom

---

Arrangement A

Below is a relaxed structure of Pm2Dy3Y3, with properties calculated at the PBE-GGA level.

Cell and atoms, written as CIF:
```
data_Pm2Dy3Y3
_cell_length_a 5.069
_cell_length_b 5.071
_cell_length_c 20.208
_cell_angle_alpha 90.00
_cell_angle_beta 90.00
_cell_angle_gamma 90.00
_symmetry_space_group_name_H-M 'I m m m'
_symmetry_Int_Tables_number 71
_symmetry_space_group_name_Hall '-I 2 2'
loop_
_atom_site_label
_atom_site_type_symbol
_atom_site_fract_x
_atom_site_fract_y
_atom_site_fract_z
_atom_site_occupancy
Pm1 Pm 0.000 0.000 0.250 1
Dy1 Dy 0.000 0.000 0.000 1
Dy2 Dy 0.000 0.500 0.376 1
Y1 Y 0.000 0.000 0.500 1
Y2 Y 0.000 0.500 0.124 1
```

---

Arrangement B

Below is a relaxed structure of Pm2Dy3Y3, with properties calculated at the PBE-GGA level.

Cell and atoms, written as CIF:
```
data_Pm2Dy3Y3
_cell_length_a 23.977
_cell_length_b 3.597
_cell_length_c 6.229
_cell_angle_alpha 90.00
_cell_angle_beta 105.05
_cell_angle_gamma 90.00
_symmetry_space_group_name_H-M 'C 1 2/m 1'
_symmetry_Int_Tables_number 12
loop_
_symmetry_equiv_pos_as_xyz
'x,y,z'
'-x,-y,-z'
'-x,y,-z'
'x,-y,z'
'x+1/2,y+1/2,z'
'-x+1/2,-y+1/2,-z'
'-x+1/2,y+1/2,-z'
'x+1/2,-y+1/2,z'
loop_
_atom_site_label
_atom_site_type_symbol
_atom_site_fract_x
_atom_site_fract_y
_atom_site_fract_z
_atom_site_occupancy
Pm1 Pm 0.249 0.000 0.248 1
Dy1 Dy 0.000 0.500 0.500 1
Dy2 Dy 0.124 0.500 0.957 1
Y1 Y 0.000 0.000 0.000 1
Y2 Y 0.124 0.000 0.458 1
```

---

Energetically preferred structure: arrangement B | next structure: +19 meV per atom

---

Arrangement A

Below is a relaxed structure of PmDy6Y4, with properties calculated at the PBE-GGA level.

Cell and atoms, written as CIF:
```
data_PmDy6Y4
_cell_length_a 6.557
_cell_length_b 6.557
_cell_length_c 17.163
_cell_angle_alpha 90.00
_cell_angle_beta 90.00
_cell_angle_gamma 90.00
_symmetry_space_group_name_H-M 'I -4 2 m'
_symmetry_Int_Tables_number 121
_symmetry_space_group_name_Hall 'I -4 2'
loop_
_atom_site_label
_atom_site_type_symbol
_atom_site_fract_x
_atom_site_fract_y
_atom_site_fract_z
_atom_site_occupancy
Pm1 Pm 0.000 0.000 0.000 1
Dy1 Dy 0.000 0.500 0.000 1
Dy2 Dy 0.179 0.179 0.630 1
Y1 Y 0.187 0.187 0.825 1
```

---

Arrangement B

Below is a relaxed structure of PmDy6Y4, with properties calculated at the PBE-GGA level.

Cell and atoms, written as CIF:
```
data_PmDy6Y4
_cell_length_a 6.579
_cell_length_b 6.579
_cell_length_c 17.164
_cell_angle_alpha 90.00
_cell_angle_beta 90.00
_cell_angle_gamma 90.00
_symmetry_space_group_name_H-M 'I -4 2 m'
_symmetry_Int_Tables_number 121
_symmetry_space_group_name_Hall 'I -4 2'
loop_
_atom_site_label
_atom_site_type_symbol
_atom_site_fract_x
_atom_site_fract_y
_atom_site_fract_z
_atom_site_occupancy
Pm1 Pm 0.000 0.000 0.000 1
Dy1 Dy 0.000 0.500 0.000 1
Dy2 Dy 0.186 0.186 0.171 1
Y1 Y 0.180 0.180 0.366 1
```

---

Energetically preferred structure: arrangement A | next structure: +16 meV per atom

---

Arrangement A

Below is a relaxed structure of Pm5Dy4Y3, with properties calculated at the PBE-GGA level.

Cell and atoms, written as CIF:
```
data_Pm5Dy4Y3
_cell_length_a 9.814
_cell_length_b 5.816
_cell_length_c 14.957
_cell_angle_alpha 90.00
_cell_angle_beta 108.79
_cell_angle_gamma 90.00
_symmetry_space_group_name_H-M 'C 1 2/m 1'
_symmetry_Int_Tables_number 12
loop_
_symmetry_equiv_pos_as_xyz
'x,y,z'
'-x,-y,-z'
'-x,y,-z'
'x,-y,z'
'x+1/2,y+1/2,z'
'-x+1/2,-y+1/2,-z'
'-x+1/2,y+1/2,-z'
'x+1/2,-y+1/2,z'
loop_
_atom_site_label
_atom_site_type_symbol
_atom_site_fract_x
_atom_site_fract_y
_atom_site_fract_z
_atom_site_occupancy
Pm1 Pm 0.000 0.000 0.000 1
Pm2 Pm 0.048 0.500 0.247 1
Pm3 Pm 0.167 0.500 0.498 1
Dy1 Dy 0.061 0.000 0.624 1
Dy2 Dy 0.176 0.000 0.857 1
Y1 Y 0.000 0.500 0.000 1
Y2 Y 0.207 0.000 0.249 1
```

---

Arrangement B

Below is a relaxed structure of Pm5Dy4Y3, with properties calculated at the PBE-GGA level.

Cell and atoms, written as CIF:
```
data_Pm5Dy4Y3
_cell_length_a 6.224
_cell_length_b 7.188
_cell_length_c 8.804
_cell_angle_alpha 90.08
_cell_angle_beta 90.12
_cell_angle_gamma 90.16
_symmetry_space_group_name_H-M 'P -1'
_symmetry_Int_Tables_number 2
loop_
_symmetry_equiv_pos_as_xyz
'x,y,z'
'-x,-y,-z'
loop_
_atom_site_label
_atom_site_type_symbol
_atom_site_fract_x
_atom_site_fract_y
_atom_site_fract_z
_atom_site_occupancy
Pm1 Pm 0.000 0.000 0.000 1
Pm2 Pm 0.333 0.500 0.334 1
Pm3 Pm 0.499 0.751 0.999 1
Dy1 Dy 0.167 0.751 0.665 1
Dy2 Dy 0.334 0.000 0.335 1
Y1 Y 0.000 0.500 0.000 1
Y2 Y 0.166 0.249 0.665 1
```

---

Energetically preferred structure: arrangement B | next structure: +214 meV per atom